Entry 1:
{
  "formula": "PmPr3Pa2P6",
  "functional": "PBE",
  "state": "relaxed",
  "total_energy_ry_per_atom": -0.540,
  "m_tot_mub_per_fu": 0.00,
  "formation_energy_ev_per_atom": -1.471,
  "dos_ef_per_ev_cell": 8.51,
  "lattice_angstrom": [[-3.076, -6.183, -1.636], [7.072, 0.588, -0.122], [-1.066, 0.022, 7.044]],
  "species": ["Pr", "Pr", "Pr", "P", "P", "P", "P", "P", "P", "Pa", "Pa", "Pm"],
  "frac_coords": [[0.500, 0.500, 0.500], [0.836, 0.164, 0.500], [0.164, 0.836, 0.500], [0.266, 0.266, 0.767], [0.422, 0.078, 0.234], [0.922, 0.578, 0.766], [0.734, 0.734, 0.233], [0.578, 0.922, 0.766], [0.078, 0.422, 0.234], [0.667, 0.333, 0.000], [0.333, 0.667, 0.000], [0.000, 0.000, 0.000]]
}

---

Entry 2:
{
  "formula": "TlZn2Cl",
  "functional": "PBE",
  "state": "relaxed",
  "total_energy_ry_per_atom": -0.141,
  "formation_energy_uncorrected_kj_per_mol_atoms": -23,
  "m_tot_mub_per_fu": 0.00,
  "dos_ef_per_ev_cell": 0.31,
  "lattice_angstrom": [[3.771, 0.000, 0.000], [0.000, 3.797, 0.075], [0.000, 1.705, 7.074]],
  "species": ["Cl", "Zn", "Zn", "Tl"],
  "frac_coords": [[0.000, 0.558, 0.500], [0.000, 0.743, 0.146], [0.500, 0.263, 0.105], [0.500, 0.936, 0.749]]
}

---

Entry 3:
{
  "formula": "Ca3VCo",
  "functional": "PBE",
  "state": "relaxed",
  "total_energy_ry_per_atom": -0.277,
  "m_tot_mub_per_fu": 4.67,
  "formation_energy_ev_per_atom": 0.682,
  "dos_ef_per_ev_cell": 8.87,
  "lattice_angstrom": [[5.316, 0.000, 0.000], [0.000, 5.316, 0.000], [0.000, 0.000, 5.316]],
  "species": ["Ca", "Ca", "Ca", "V", "Co"],
  "frac_coords": [[0.500, 0.000, 0.000], [0.000, 0.000, 0.500], [0.000, 0.500, 0.000], [0.500, 0.500, 0.500], [0.000, 0.000, 0.000]]
}